Crystalline Ac3PuAl2O9 at its relaxed geometry. Source: Alexandria, functional PBE.

The structure belongs to space group P-3m1 (No. 164); the cell edges are 5.6438, 5.6438 and 7.4511 Å and the angles 90.00°, 90.00° and 120.00°. Symmetry generates all atoms from Ac at (0.0000, 0.0000, 0.0000), Ac at (0.3333, 0.6667, 0.7195), Pu at (0.0000, 0.0000, 0.5000), Al at (0.3333, 0.6667, 0.1623), O at (0.0000, 0.5000, 0.0000) and O at (0.1728, 0.3455, 0.2958).

The uncorrected formation energy is -3.085 eV per atom. The size of the total moment is 5.0 μB/f.u. Its density of states at the Fermi level is 0.388 states/eV/atom.

Crystalline BiTe2Au2 at its relaxed geometry. Source: Alexandria, functional PBE.

The structure belongs to space group I4/mmm (No. 139); the cell edges are 4.014, 4.014 and 16.278 Å and the angles 90.00°, 90.00° and 90.00°. Symmetry generates all atoms from Bi at (0.000, 0.000, 0.000), Te at (0.000, 0.000, 0.389) and Au at (0.000, 0.500, 0.250).

The uncorrected formation energy is 0.093 eV per atom. The size of the total moment is 0.0 μB/f.u. Its density of states at the Fermi level is 0.497 states/eV/atom.

Crystalline Sr2MoCl at its relaxed geometry. Source: Alexandria, functional PBE.

The structure belongs to space group R-3m (No. 166, hexagonal axes); the cell edges are 3.7919, 3.7919 and 27.6995 Å and the angles 90.00°, 90.00° and 120.00°. Symmetry generates all atoms from Sr at (0.0000, 0.0000, 0.2484), Mo at (0.0000, 0.0000, 0.0000) and Cl at (0.0000, 0.0000, 0.5000).

The uncorrected formation energy is -0.067 eV per atom. The size of the total moment is 1.9 μB/f.u. Its density of states at the Fermi level is 0.920 states/eV/atom.

Crystalline Zn3GaPt6 at its relaxed geometry. Source: Alexandria, functional PBE.

The structure belongs to space group P2_1/m (No. 11); the cell edges are 8.473, 4.012 and 8.871 Å and the angles 90.00°, 94.87° and 90.00°. Symmetry generates all atoms from Zn at (0.055, 0.250, 0.397), Zn at (0.156, 0.750, 0.198), Zn at (0.252, 0.250, 0.994), Ga at (0.431, 0.250, 0.615), Pt at (0.039, 0.750, 0.899), Pt at (0.131, 0.250, 0.695), Pt at (0.241, 0.750, 0.498), Pt at (0.342, 0.750, 0.803), Pt at (0.361, 0.250, 0.316) and Pt at (0.441, 0.750, 0.103).

The size of the total moment is 0.0 μB/f.u. Its density of states at the Fermi level is 0.337 states/eV/atom. Its formation energy is -496 meV/atom.

Crystalline BaCa2ReN4 at its relaxed geometry. Source: Alexandria, functional PBE.

The structure belongs to space group Pmn2_1 (No. 31); the cell edges are 7.677, 6.509 and 6.085 Å and the angles 90.00°, 90.00° and 90.00°. Symmetry generates all atoms from Ba at (0.000, 0.123, 0.000), Ca at (0.241, 0.350, 0.511), Re at (0.000, 0.813, 0.523), N at (0.000, 0.102, 0.501), N at (0.000, 0.745, 0.820) and N at (0.193, 0.695, 0.390).

The uncorrected formation energy is -0.753 eV per atom. The size of the total moment is 0.7 μB/f.u. Its density of states at the Fermi level is 0.461 states/eV/atom.

Crystalline CaC2O4 at its relaxed geometry. Source: Alexandria, functional PBE.

The structure belongs to space group P2/m (No. 10); the cell edges are 6.258, 7.476 and 9.644 Å and the angles 90.00°, 90.20° and 90.00°. Symmetry generates all atoms from Ca at (0.090, 0.000, 0.321), Ca at (0.092, 0.500, 0.180), C at (0.000, 0.105, 0.000), C at (0.000, 0.395, 0.500), C at (0.434, 0.500, 0.931), C at (0.435, 0.000, 0.569), O at (0.049, 0.181, 0.113), O at (0.050, 0.319, 0.387), O at (0.231, 0.500, 0.946), O at (0.232, 0.000, 0.555), O at (0.464, 0.000, 0.318) and O at (0.466, 0.500, 0.182).

The uncorrected formation energy is -1.853 eV per atom. The size of the total moment is 0.0 μB/f.u. Its density of states at the Fermi level is 0.000 states/eV/atom.